An optimized crystal structure of LaP2Os, computed with PBEsol.

Cell lengths 3.959, 4.844, 4.844 Å; angles 71.50, 65.88, 65.88 degrees
Sites, in units of the cell vectors:
Os 0.500 0.000 0.000
P 0.183 0.817 0.817
P 0.817 0.183 0.183
La 0.000 0.500 0.500

Magnetization   0.000 μB per formula unit
DFT total energy   -0.5829 Ry/atom
V   19.03 Å³/atom
ΔE to the lowest computed polymorph   0.00 eV per formula unit
SG   No. 71
ΔE_f   -249 kJ/mol of formula units